# ScAg2Hg2 PBE relaxed
data_ScAg2Hg2
_chemical_formula_sum 'Sc3 Ag6 Hg6'
_cell_length_a 4.8370
_cell_length_b 4.8370
_cell_length_c 14.9440
_cell_angle_alpha 90.00
_cell_angle_beta 90.00
_cell_angle_gamma 120.00
_space_group_name_H-M_alt 'R -3 m'
_space_group_IT_number 166
_space_group_name_Hall '-R 3 2"'
loop_
_atom_site_label
_atom_site_type_symbol
_atom_site_fract_x
_atom_site_fract_y
_atom_site_fract_z
Sc1 Sc 0.0000 0.0000 0.0000
Ag1 Ag 0.0000 0.0000 0.2014
Hg1 Hg 0.0000 0.0000 0.4032
# N(E_F) in states/eV per cell: 6.36
# Calculated density in Mg/m³: 10.889
# Energy of formation in eV per atom: -0.146
# Excess energy over the best structure of this formula in the dataset in meV per atom: 14
# Total magnetization in μB/f.u.: 0.00



# YZnIrRu PBE relaxed
data_YZnIrRu
_chemical_formula_sum 'Y2 Zn2 Ir2 Ru2'
_cell_length_a 10.462
_cell_length_b 3.107
_cell_length_c 4.615
_cell_angle_alpha 90.00
_cell_angle_beta 114.05
_cell_angle_gamma 90.00
_space_group_name_H-M_alt 'C 1 m 1'
_space_group_IT_number 8
loop_
_space_group_symop_operation_xyz
'x,y,z'
'x,-y,z'
'x+1/2,y+1/2,z'
'x+1/2,-y+1/2,z'
loop_
_atom_site_label
_atom_site_type_symbol
_atom_site_fract_x
_atom_site_fract_y
_atom_site_fract_z
Y1 Y 0.000 0.000 0.000
Zn1 Zn 0.220 0.000 0.653
Ir1 Ir 0.265 0.500 0.176
Ru1 Ru 0.486 0.000 0.505
# N(E_F) in states/eV per cell: 3.25
# Calculated density in Mg/m³: 10.850
# Energy of formation in eV per atom: -0.195
# Excess energy over the best structure of this formula in the dataset in meV per atom: 120
# Total magnetization in μB/f.u.: 0.00



# ScRu3 PBE relaxed
data_ScRu3
_chemical_formula_sum 'Sc1 Ru3'
_cell_length_a 2.825
_cell_length_b 2.825
_cell_length_c 7.729
_cell_angle_alpha 90.00
_cell_angle_beta 90.00
_cell_angle_gamma 90.00
_space_group_name_H-M_alt 'P 4/m m m'
_space_group_IT_number 123
_space_group_name_Hall '-P 4 2'
loop_
_atom_site_label
_atom_site_type_symbol
_atom_site_fract_x
_atom_site_fract_y
_atom_site_fract_z
Sc1 Sc 0.000 0.000 0.000
Ru1 Ru 0.000 0.000 0.500
Ru2 Ru 0.500 0.500 0.272
# N(E_F) in states/eV per cell: 3.93
# Calculated density in Mg/m³: 9.371
# Energy of formation in eV per atom: -0.024
# Total magnetization in μB/f.u.: 0.00



# TmZrTcPt PBE relaxed
data_TmZrTcPt
_chemical_formula_sum 'Tm4 Zr4 Tc4 Pt4'
_cell_length_a 6.713
_cell_length_b 6.713
_cell_length_c 6.713
_cell_angle_alpha 90.00
_cell_angle_beta 90.00
_cell_angle_gamma 90.00
_space_group_name_H-M_alt 'F -4 3 m'
_space_group_IT_number 216
_space_group_name_Hall 'F -4 2 3'
loop_
_atom_site_label
_atom_site_type_symbol
_atom_site_fract_x
_atom_site_fract_y
_atom_site_fract_z
Tm1 Tm 0.000 0.000 0.000
Zr1 Zr 0.000 0.000 0.500
Tc1 Tc 0.250 0.250 0.250
Pt1 Pt 0.250 0.250 0.750
# N(E_F) in states/eV per cell: 5.36
# Calculated density in Mg/m³: 12.145
# Energy of formation in eV per atom: -0.683
# Total magnetization in μB/f.u.: 0.00



# K3IBr2 PBE relaxed
data_K3IBr2
_chemical_formula_sum 'K12 I4 Br8'
_cell_length_a 8.452
_cell_length_b 12.991
_cell_length_c 9.956
_cell_angle_alpha 90.00
_cell_angle_beta 90.00
_cell_angle_gamma 90.00
_space_group_name_H-M_alt 'I m m a'
_space_group_IT_number 74
_space_group_name_Hall '-I 2b 2'
loop_
_atom_site_label
_atom_site_type_symbol
_atom_site_fract_x
_atom_site_fract_y
_atom_site_fract_z
K1 K 0.220 0.000 0.000
K2 K 0.250 0.250 0.250
I1 I 0.000 0.250 0.955
Br1 Br 0.000 0.057 0.288
# N(E_F) in states/eV per cell: 0.00
# Calculated density in Mg/m³: 2.455
# Formation energy from raw total energies in meV per atom: -1559
# Excess energy over the best structure of this formula in the dataset in meV per atom: 94
# Total magnetization in μB/f.u.: 0.00



# BaCl4 PBE relaxed
data_BaCl4
_chemical_formula_sum 'Ba2 Cl8'
_cell_length_a 7.534
_cell_length_b 7.534
_cell_length_c 4.831
_cell_angle_alpha 90.00
_cell_angle_beta 90.00
_cell_angle_gamma 90.00
_space_group_name_H-M_alt 'I 4/m'
_space_group_IT_number 87
_space_group_name_Hall '-I 4'
loop_
_atom_site_label
_atom_site_type_symbol
_atom_site_fract_x
_atom_site_fract_y
_atom_site_fract_z
Ba1 Ba 0.000 0.000 0.000
Cl1 Cl 0.114 0.287 0.500
# N(E_F) in states/eV per cell: 8.83
# Calculated density in Mg/m³: 3.380
# Formation energy from raw total energies in meV per atom: -1121
# Total magnetization in μB/f.u.: 2.05